Below is crystalline Pm4PuBi5 at its relaxed geometry, with properties calculated at the PBE-GGA level.

Computed properties:
E_tot	-6.09	eV per atom
space-group type	I4/mmm (139)
mass density	9.18	Mg/m³
ΔH_f (0 K)	-785	kJ/mol of formula units

Cell lengths 16.4678, 16.4678, 16.4678 Å; angles 164.03, 164.03, 22.66 degrees
Atoms (fractional coordinates):
Pm 0.1005 0.1005 0.0000
Pm 0.3001 0.3001 0.0000
Pm 0.6999 0.6999 0.0000
Pm 0.8995 0.8995 0.0000
Pu 0.5000 0.5000 0.0000
Bi 0.0000 0.0000 0.0000
Bi 0.2001 0.2001 0.0000
Bi 0.4006 0.4006 0.0000
Bi 0.5994 0.5994 0.0000
Bi 0.7999 0.7999 0.0000

=====

Below is crystalline PuTh2Pa3As6 at its relaxed geometry, with properties calculated at the PBE-GGA level.

Computed properties:
E_tot	-8.30	eV per atom
space-group type	C2/m (12)
mass density	10.08	Mg/m³
ΔH_f (0 K)	-1357	kJ/mol of formula units

Cell lengths 9.2993, 9.2993, 8.3070 Å; angles 103.02, 103.02, 25.85 degrees
Atoms (fractional coordinates):
Pu 0.0000 0.0000 0.0000
Th 0.3344 0.3344 0.6683
Th 0.6656 0.6656 0.3317
Pa 0.0000 0.0000 0.5000
Pa 0.3326 0.3326 0.1655
Pa 0.6674 0.6674 0.8345
As 0.1642 0.1642 0.5901
As 0.1671 0.1671 0.0753
As 0.4964 0.4964 0.2511
As 0.5036 0.5036 0.7489
As 0.8329 0.8329 0.9247
As 0.8358 0.8358 0.4099

=====

Below is crystalline MnTcPd3 at its relaxed geometry, with properties calculated at the PBE-GGA level.

Computed properties:
E_tot	-5.88	eV per atom
space-group type	Pm-3m (221)
mass density	8.00	Mg/m³
ΔH_f (0 K)	551	kJ/mol of formula units

Cell lengths 4.6109, 4.6109, 4.6109 Å; angles 90.00, 90.00, 90.00 degrees
Atoms (fractional coordinates):
Mn 0.0000 0.0000 0.0000
Tc 0.5000 0.5000 0.5000
Pd 0.0000 0.0000 0.5000
Pd 0.0000 0.5000 0.0000
Pd 0.5000 0.0000 0.0000

=====

Below is crystalline La3CeN3 at its relaxed geometry, with properties calculated at the PBE-GGA level.

Computed properties:
E_tot	-7.61	eV per atom
E_form (uncorrected)	-1.081	eV per atom
space-group type	P6_3/mmc (194)
mass density	6.08	Mg/m³

Cell lengths 8.2613, 8.2613, 5.5316 Å; angles 90.00, 90.00, 120.00 degrees
Atoms (fractional coordinates):
La 0.1659 0.3318 0.2500
La 0.1659 0.8341 0.2500
La 0.3318 0.1659 0.7500
La 0.6682 0.8341 0.2500
La 0.8341 0.1659 0.7500
La 0.8341 0.6682 0.7500
Ce 0.3333 0.6667 0.7500
Ce 0.6667 0.3333 0.2500
N 0.1711 0.3422 0.7500
N 0.1711 0.8289 0.7500
N 0.3422 0.1711 0.2500
N 0.6578 0.8289 0.7500
N 0.8289 0.1711 0.2500
N 0.8289 0.6578 0.2500

=====

Below is crystalline Mg3InRh at its relaxed geometry, with properties calculated at the PBE-GGA level.

Computed properties:
E_tot	-3.24	eV per atom
space-group type	C2/m (12)
mass density	4.66	Mg/m³
ΔH_f (0 K)	-128	kJ/mol of formula units

Cell lengths 5.6077, 5.6077, 8.9483 Å; angles 92.35, 92.35, 47.52 degrees
Atoms (fractional coordinates):
Mg 0.0974 0.0974 0.3696
Mg 0.1283 0.1283 0.8866
Mg 0.3843 0.3843 0.3673
Mg 0.6157 0.6157 0.6327
Mg 0.8717 0.8717 0.1134
Mg 0.9026 0.9026 0.6304
In 0.4099 0.4099 0.8710
In 0.5901 0.5901 0.1290
Rh 0.2528 0.2528 0.6226
Rh 0.7472 0.7472 0.3774

=====

Below is crystalline CdGe3Te at its relaxed geometry, with properties calculated at the PBE-GGA level.

Computed properties:
E_tot	-2.85	eV per atom
E_form (uncorrected)	0.727	eV per atom
space-group type	Pm-3m (221)
mass density	5.43	Mg/m³

Cell lengths 5.1942, 5.1942, 5.1942 Å; angles 90.00, 90.00, 90.00 degrees
Atoms (fractional coordinates):
Cd 0.0000 0.0000 0.0000
Ge 0.0000 0.0000 0.5000
Ge 0.0000 0.5000 0.0000
Ge 0.5000 0.0000 0.0000
Te 0.5000 0.5000 0.5000

=====

Below is crystalline CdSnF2 at its relaxed geometry, with properties calculated at the PBE-GGA level.

Computed properties:
E_tot	-3.65	eV per atom
E_form (uncorrected)	-1.490	eV per atom
space-group type	R-3m (166)
mass density	5.94	Mg/m³

Cell lengths 8.1342, 8.1342, 8.1342 Å; angles 23.51, 23.51, 23.51 degrees
Atoms (fractional coordinates):
Cd 0.0000 0.0000 0.0000
Sn 0.5000 0.5000 0.5000
F 0.4031 0.4031 0.4031
F 0.5969 0.5969 0.5969

=====

Below is crystalline AlCr2Se at its relaxed geometry, with properties calculated at the PBE-GGA level.

Computed properties:
E_tot	-6.28	eV per atom
E_form (uncorrected)	0.336	eV per atom
space-group type	Fm-3m (225)
mass density	6.26	Mg/m³

Cell lengths 4.2868, 4.2868, 4.2868 Å; angles 60.00, 60.00, 60.00 degrees
Atoms (fractional coordinates):
Al 0.0000 0.0000 0.0000
Cr 0.2500 0.2500 0.2500
Cr 0.7500 0.7500 0.7500
Se 0.5000 0.5000 0.5000

=====

Below is crystalline CsPmSn2 at its relaxed geometry, with properties calculated at the PBE-GGA level.

Computed properties:
E_tot	-3.40	eV per atom
space-group type	R-3m (166)
mass density	3.92	Mg/m³
ΔH_f (0 K)	0	kJ/mol of formula units

Cell lengths 9.8008, 9.8008, 9.8008 Å; angles 30.74, 30.74, 30.74 degrees
Atoms (fractional coordinates):
Cs 0.0000 0.0000 0.0000
Pm 0.5000 0.5000 0.5000
Sn 0.1333 0.1333 0.1333
Sn 0.8667 0.8667 0.8667

=====

Below is crystalline Ce2Dy4Tm5 at its relaxed geometry, with properties calculated at the PBE-GGA level.

Computed properties:
E_tot	-4.73	eV per atom
space-group type	C2/m (12)
mass density	8.74	Mg/m³
ΔH_f (0 K)	63	kJ/mol of formula units

Cell lengths 9.2956, 9.2956, 7.8408 Å; angles 104.62, 104.62, 31.06 degrees
Atoms (fractional coordinates):
Ce 0.0884 0.0884 0.4528
Ce 0.9116 0.9116 0.5472
Dy 0.1806 0.1806 0.9093
Dy 0.4542 0.4542 0.2747
Dy 0.5458 0.5458 0.7253
Dy 0.8194 0.8194 0.0907
Tm 0.0000 0.0000 0.0000
Tm 0.2722 0.2722 0.3649
Tm 0.3628 0.3628 0.8144
Tm 0.6372 0.6372 0.1856
Tm 0.7278 0.7278 0.6351

=====

Below is crystalline Nb2Ga3Pt at its relaxed geometry, with properties calculated at the PBE-GGA level.

Computed properties:
E_tot	-5.90	eV per atom
space-group type	Immm (71)
mass density	9.21	Mg/m³
ΔH_f (0 K)	-16	kJ/mol of formula units

Cell lengths 5.8309, 5.8309, 5.8309 Å; angles 137.64, 125.63, 71.24 degrees
Atoms (fractional coordinates):
Nb 0.1758 0.1758 0.0000
Nb 0.8242 0.8242 0.0000
Ga 0.0000 0.5000 0.5000
Ga 0.3454 0.8454 0.5000
Ga 0.6546 0.1546 0.5000
Pt 0.5000 0.5000 0.0000

=====

Below is crystalline MnCrC3 at its relaxed geometry, with properties calculated at the PBE-GGA level.

Computed properties:
E_tot	-7.19	eV per atom
space-group type	Pm-3m (221)
mass density	4.54	Mg/m³
ΔH_f (0 K)	1016	kJ/mol of formula units

Cell lengths 3.7402, 3.7402, 3.7402 Å; angles 90.00, 90.00, 90.00 degrees
Atoms (fractional coordinates):
Mn 0.0000 0.0000 0.0000
Cr 0.5000 0.5000 0.5000
C 0.0000 0.5000 0.5000
C 0.5000 0.0000 0.5000
C 0.5000 0.5000 0.0000

=====

Please write out number 1 again, unchanged.
Below is crystalline Pm4PuBi5 at its relaxed geometry, with properties calculated at the PBE-GGA level.

Computed properties:
E_tot	-6.09	eV per atom
space-group type	I4/mmm (139)
mass density	9.18	Mg/m³
ΔH_f (0 K)	-785	kJ/mol of formula units

Cell lengths 16.4678, 16.4678, 16.4678 Å; angles 164.03, 164.03, 22.66 degrees
Atoms (fractional coordinates):
Pm 0.1005 0.1005 0.0000
Pm 0.3001 0.3001 0.0000
Pm 0.6999 0.6999 0.0000
Pm 0.8995 0.8995 0.0000
Pu 0.5000 0.5000 0.0000
Bi 0.0000 0.0000 0.0000
Bi 0.2001 0.2001 0.0000
Bi 0.4006 0.4006 0.0000
Bi 0.5994 0.5994 0.0000
Bi 0.7999 0.7999 0.0000